## SiAu3Cl (GGA-PBE)

Data for a geometry-optimized SiAu3Cl structure.

Calculated total energy (Ha/atom): -0.1125
Relative energy among the computed polymorphs (eV/f.u.): 0.00
Total moment (μB/f.u.): 0.00
Symmetry: No. 221
Raw formation energy (eV/atom): 0.3596

Cell lengths 4.835, 4.835, 4.835 Å; angles 90.00, 90.00, 90.00 degrees
Element x y z (fractional)
Si1 0.000 0.000 0.000
Au1 0.000 0.500 0.000
Au2 0.000 0.000 0.500
Au3 0.500 0.000 0.000
Cl1 0.500 0.500 0.500

---

## EuZrTe2 (GGA-PBE)

Data for a geometry-optimized EuZrTe2 structure.

Calculated total energy (Ha/atom): -0.2678
Relative energy among the computed polymorphs (eV/f.u.): 0.00
Total moment (μB/f.u.): 7.22
Symmetry: No. 123
Raw formation energy (eV/atom): -1.0111

Cell lengths 3.704, 3.704, 7.694 Å; angles 90.00, 90.00, 90.00 degrees
Element x y z (fractional)
Te1 0.000 0.000 0.222
Te2 0.000 0.000 0.778
Eu1 0.500 0.500 0.500
Zr1 0.500 0.500 0.000

---

## LaPm2Dy8 (GGA-PBE)

Data for a geometry-optimized LaPm2Dy8 structure.

Calculated total energy (Ha/atom): -0.1659
Relative energy among the computed polymorphs (eV/f.u.): 0.30
Total moment (μB/f.u.): 0.00
Energy of formation (eV per atom): 0.14
Symmetry: No. 12

Cell lengths 5.563, 10.210, 10.210 Å; angles 40.35, 92.72, 92.72 degrees
Element x y z (fractional)
Dy1 0.733 0.400 0.865
Dy2 0.761 0.454 0.454
Dy3 0.239 0.546 0.546
Dy4 0.267 0.600 0.135
Dy5 0.267 0.135 0.600
Dy6 0.733 0.865 0.400
Dy7 0.234 0.188 0.188
Dy8 0.766 0.812 0.812
La1 0.000 0.000 0.000
Pm1 0.250 0.715 0.715
Pm2 0.750 0.285 0.285

---

## Cs2TlHg3Pb4 (GGA-PBE)

Data for a geometry-optimized Cs2TlHg3Pb4 structure.

Calculated total energy (Ha/atom): -0.0769
Total moment (μB/f.u.): 0.00
Energy of formation (eV per atom): -0.11
Symmetry: No. 115

Cell lengths 5.286, 5.286, 12.896 Å; angles 90.00, 90.00, 90.00 degrees
Element x y z (fractional)
Cs1 0.500 0.000 0.254
Cs2 0.000 0.500 0.746
Pb1 0.000 0.500 0.368
Pb2 0.500 0.000 0.632
Pb3 0.000 0.000 0.000
Pb4 0.500 0.500 0.000
Hg1 0.000 0.000 0.500
Hg2 0.500 0.000 0.867
Hg3 0.000 0.500 0.133
Tl1 0.500 0.500 0.500